Entry 1:
This record from Alexandria describes crystalline CaTl2Te at its relaxed geometry. The functional is GGA-PBE.

The structure in extended XYZ format:
```
8
Lattice="6.355 0.000 0.000 0.000 12.556 0.000 -3.036 0.000 3.234" Properties=species:S:1:pos:R:3 pbc="T T T"
Ca 0.000 0.000 0.000
Ca 3.178 6.278 0.000
Tl 0.071 3.139 1.617
Tl 0.071 9.417 1.617
Tl 3.248 3.139 1.617
Tl 3.248 9.417 1.617
Te 0.000 6.278 0.000
Te 3.178 0.000 0.000
```

Values from the calculation:
Density of states at the Fermi level = 3.67 states/eV per cell
Energy above the lowest structure with this stoichiometry = 0.0 meV/atom
E_form (uncorrected) = -591 meV/atom

=====

Entry 2:
This record from Alexandria describes crystalline Ca2Tl2Te at its relaxed geometry. The functional is GGA-PBE.

The structure in extended XYZ format:
```
10
Lattice="5.336 0.000 0.000 0.000 5.336 0.000 0.000 0.000 12.333" Properties=species:S:1:pos:R:3 pbc="T T T"
Ca 0.000 2.668 3.083
Ca 0.000 2.668 9.250
Ca 2.668 0.000 3.083
Ca 2.668 0.000 9.250
Tl 0.000 0.000 1.369
Tl 0.000 0.000 10.964
Tl 2.668 2.668 4.797
Tl 2.668 2.668 7.536
Te 0.000 0.000 6.166
Te 2.668 2.668 0.000
```

Values from the calculation:
Density of states at the Fermi level = 7.63 states/eV per cell
Energy above the lowest structure with this stoichiometry = 421.9 meV/atom
E_form (uncorrected) = -99 meV/atom

=====

Entry 3:
This record from Alexandria describes crystalline Ca2TlTe at its relaxed geometry. The functional is GGA-PBE.

The structure in extended XYZ format:
```
8
Lattice="12.303 0.000 0.000 0.000 4.139 0.000 -1.205 0.000 4.940" Properties=species:S:1:pos:R:3 pbc="T T T"
Ca 0.000 0.000 0.000
Ca 2.387 0.000 2.704
Ca 6.151 2.069 0.000
Ca 8.538 2.069 2.704
Tl 2.913 2.069 0.180
Tl 9.065 0.000 0.180
Te -0.431 2.069 2.588
Te 5.721 0.000 2.588
```

Values from the calculation:
Density of states at the Fermi level = 5.32 states/eV per cell
Energy above the lowest structure with this stoichiometry = 66.4 meV/atom
E_form (uncorrected) = -786 meV/atom

=====

Entry 4:
This record from Alexandria describes crystalline Ca2TlTe at its relaxed geometry. The functional is GGA-PBE.

The structure in extended XYZ format:
```
16
Lattice="7.840 0.000 0.000 0.000 7.840 0.000 0.000 0.000 7.840" Properties=species:S:1:pos:R:3 pbc="T T T"
Ca 1.960 1.960 1.960
Ca 1.960 1.960 5.880
Ca 1.960 5.880 1.960
Ca 1.960 5.880 5.880
Ca 5.880 1.960 1.960
Ca 5.880 1.960 5.880
Ca 5.880 5.880 1.960
Ca 5.880 5.880 5.880
Tl 0.000 0.000 0.000
Tl 0.000 3.920 3.920
Tl 3.920 0.000 3.920
Tl 3.920 3.920 0.000
Te 0.000 0.000 3.920
Te 0.000 3.920 0.000
Te 3.920 0.000 0.000
Te 3.920 3.920 3.920
```

Values from the calculation:
Density of states at the Fermi level = 13.84 states/eV per cell
Energy above the lowest structure with this stoichiometry = 187.4 meV/atom
E_form (uncorrected) = -665 meV/atom

=====

Entry 5:
This record from Alexandria describes crystalline CaTl2Te at its relaxed geometry. The functional is GGA-PBE.

The structure in extended XYZ format:
```
16
Lattice="9.065 0.000 0.000 0.000 9.065 0.000 0.000 0.000 6.408" Properties=species:S:1:pos:R:3 pbc="T T T"
Ca 0.000 0.000 0.000
Ca 0.000 4.533 1.602
Ca 4.533 0.000 4.806
Ca 4.533 4.533 3.204
Tl 2.170 2.266 4.005
Tl 2.266 6.702 5.607
Tl 2.266 6.895 2.403
Tl 2.363 2.266 0.801
Tl 6.702 6.799 0.801
Tl 6.799 2.170 2.403
Tl 6.799 2.363 5.607
Tl 6.895 6.799 4.005
Te 0.000 0.000 3.204
Te 0.000 4.533 4.806
Te 4.533 0.000 1.602
Te 4.533 4.533 0.000
```

Values from the calculation:
Density of states at the Fermi level = 8.96 states/eV per cell
Energy above the lowest structure with this stoichiometry = 190.5 meV/atom
E_form (uncorrected) = -400 meV/atom

=====

Entry 6:
This record from Alexandria describes crystalline CaTl12Te7 at its relaxed geometry. The functional is GGA-PBE.

The structure in extended XYZ format:
```
20
Lattice="7.599 4.388 4.006 -7.599 4.388 4.006 0.000 -8.775 4.006" Properties=species:S:1:pos:R:3 pbc="T T T"
Ca 0.000 0.000 0.000
Tl -1.831 -5.390 5.007
Tl -1.577 -1.952 4.050
Tl -5.583 -1.109 7.009
Tl -3.752 4.281 5.007
Tl -0.901 2.342 4.050
Tl 2.479 -0.390 4.050
Tl -2.479 0.390 7.967
Tl 0.901 -2.342 7.967
Tl 3.752 -4.281 7.009
Tl 5.583 1.109 5.007
Tl 1.577 1.952 7.967
Tl 1.831 5.390 7.009
Te -2.577 0.290 2.005
Te 1.038 -2.377 2.005
Te 1.539 2.087 2.005
Te 0.000 0.000 6.008
Te -1.539 -2.087 10.011
Te -1.038 2.377 10.011
Te 2.577 -0.290 10.011
```

Values from the calculation:
E_form (uncorrected) = -375 meV/atom

=====

Entry 7:
This record from Alexandria describes crystalline Ca2TlTe at its relaxed geometry. The functional is GGA-PBE.

The structure in extended XYZ format:
```
8
Lattice="7.057 0.000 0.000 0.000 8.633 0.000 0.000 0.000 3.915" Properties=species:S:1:pos:R:3 pbc="T T T"
Ca 1.764 2.158 0.000
Ca 1.764 6.475 0.000
Ca 5.293 2.158 0.000
Ca 5.293 6.475 0.000
Tl 0.000 0.000 1.958
Tl 3.528 4.317 1.958
Te 0.000 4.317 1.958
Te 3.528 0.000 1.958
```

Values from the calculation:
Density of states at the Fermi level = 3.84 states/eV per cell
Energy above the lowest structure with this stoichiometry = 81.2 meV/atom
E_form (uncorrected) = -771 meV/atom

=====

Entry 8:
This record from Alexandria describes crystalline CaTl2Te at its relaxed geometry. The functional is GGA-PBE.

The structure in extended XYZ format:
```
16
Lattice="7.893 0.000 0.000 0.000 7.893 0.000 0.000 0.000 7.893" Properties=species:S:1:pos:R:3 pbc="T T T"
Ca 0.000 0.000 0.000
Ca 0.000 3.947 3.947
Ca 3.947 0.000 3.947
Ca 3.947 3.947 0.000
Tl 0.000 0.000 3.947
Tl 0.000 3.947 0.000
Tl 1.973 1.973 1.973
Tl 1.973 5.920 5.920
Tl 3.947 0.000 0.000
Tl 3.947 3.947 3.947
Tl 5.920 1.973 5.920
Tl 5.920 5.920 1.973
Te 1.973 1.973 5.920
Te 1.973 5.920 1.973
Te 5.920 1.973 1.973
Te 5.920 5.920 5.920
```

Values from the calculation:
Density of states at the Fermi level = 17.21 states/eV per cell
Energy above the lowest structure with this stoichiometry = 192.9 meV/atom
E_form (uncorrected) = -398 meV/atom

=====

Entry 9:
This record from Alexandria describes crystalline Ca2TlTe2 at its relaxed geometry. The functional is GGA-PBE.

The structure in extended XYZ format:
```
10
Lattice="8.712 0.000 0.000 0.000 8.712 0.000 0.000 0.000 4.103" Properties=species:S:1:pos:R:3 pbc="T T T"
Ca 1.266 3.090 0.000
Ca 3.090 7.447 0.000
Ca 5.622 1.266 0.000
Ca 7.447 5.622 0.000
Tl 0.000 0.000 0.000
Tl 4.356 4.356 0.000
Te 1.388 5.744 2.052
Te 2.969 1.388 2.052
Te 5.744 7.325 2.052
Te 7.325 2.969 2.052
```

Values from the calculation:
Density of states at the Fermi level = 7.00 states/eV per cell
Energy above the lowest structure with this stoichiometry = 97.0 meV/atom
E_form (uncorrected) = -985 meV/atom

=====

Entry 10:
This record from Alexandria describes crystalline Ca2TlTe at its relaxed geometry. The functional is GGA-PBE.

The structure in extended XYZ format:
```
16
Lattice="8.476 0.000 0.000 0.000 8.476 0.000 0.000 0.000 7.629" Properties=species:S:1:pos:R:3 pbc="T T T"
Ca 2.007 6.357 0.954
Ca 2.119 2.007 6.676
Ca 2.119 2.231 2.861
Ca 2.231 6.357 4.768
Ca 6.245 2.119 4.768
Ca 6.357 6.245 2.861
Ca 6.357 6.469 6.676
Ca 6.469 2.119 0.954
Tl 0.000 0.000 3.815
Tl 0.000 4.238 5.722
Tl 4.238 0.000 1.907
Tl 4.238 4.238 0.000
Te 0.000 0.000 0.000
Te 0.000 4.238 1.907
Te 4.238 0.000 5.722
Te 4.238 4.238 3.815
```

Values from the calculation:
Density of states at the Fermi level = 6.62 states/eV per cell
Energy above the lowest structure with this stoichiometry = 181.0 meV/atom
E_form (uncorrected) = -672 meV/atom

=====

Entry 11:
This record from Alexandria describes crystalline Ca2Tl2Te at its relaxed geometry. The functional is GGA-PBE.

The structure in extended XYZ format:
```
10
Lattice="8.193 0.000 0.000 0.000 8.193 0.000 0.000 0.000 5.010" Properties=species:S:1:pos:R:3 pbc="T T T"
Ca 1.381 2.716 0.000
Ca 2.716 6.813 0.000
Ca 5.477 1.381 0.000
Ca 6.813 5.477 0.000
Tl 1.126 5.222 2.505
Tl 2.971 1.126 2.505
Tl 5.222 7.068 2.505
Tl 7.068 2.971 2.505
Te 0.000 0.000 0.000
Te 4.097 4.097 0.000
```

Values from the calculation:
Density of states at the Fermi level = 10.57 states/eV per cell
Energy above the lowest structure with this stoichiometry = 0.0 meV/atom
E_form (uncorrected) = -520 meV/atom

=====

Entry 12:
This record from Alexandria describes crystalline Ca2TlTe at its relaxed geometry. The functional is GGA-PBE.

The structure in extended XYZ format:
```
4
Lattice="4.530 0.000 0.000 0.000 4.530 0.000 0.000 0.000 6.519" Properties=species:S:1:pos:R:3 pbc="T T T"
Ca 0.000 0.000 0.000
Ca 2.265 2.265 3.259
Tl 0.000 0.000 3.259
Te 2.265 2.265 0.000
```

Values from the calculation:
Density of states at the Fermi level = 2.86 states/eV per cell
Energy above the lowest structure with this stoichiometry = 100.9 meV/atom
E_form (uncorrected) = -752 meV/atom

=====

no.,VASP energy (eV per cell)
1,-24.5
2,-24.7
3,-25.3
4,-48.7
5,-45.9
6,-59.9
7,-25.2
8,-45.9
9,-35.2
10,-48.8
11,-29.0
12,-12.5